# 1
Density functional theory data (PBE with a Hubbard U) for a geometry-optimized Co2WF structure.

Lattice parameters (Å, degrees): 6.885 6.885 4.771 90.00 90.00 90.00
Fractional positions:
Co: 0.203 0.750 0.125
Co: 0.250 0.203 0.875
Co: 0.250 0.297 0.375
Co: 0.297 0.750 0.625
Co: 0.703 0.250 0.625
Co: 0.750 0.703 0.375
Co: 0.750 0.797 0.875
Co: 0.797 0.250 0.125
W: 0.000 0.000 0.500
W: 0.000 0.500 0.750
W: 0.500 0.000 0.250
W: 0.500 0.500 0.000
F: 0.000 0.000 0.000
F: 0.000 0.500 0.250
F: 0.500 0.000 0.750
F: 0.500 0.500 0.500

SG	I-42d, No. 122
polymorph energy (0 for the lowest one)	0.00	kJ per mole of atoms
D(E_F)	0.28	states/eV per atom

# 2
Density functional theory data (PBE with a Hubbard U) for a geometry-optimized CoW2F structure.

Lattice parameters (Å, degrees): 5.957 5.957 5.957 90.00 90.00 90.00
Fractional positions:
Co: 0.000 0.000 0.000
Co: 0.000 0.500 0.500
Co: 0.500 0.000 0.500
Co: 0.500 0.500 0.000
W: 0.250 0.250 0.250
W: 0.250 0.250 0.750
W: 0.250 0.750 0.250
W: 0.250 0.750 0.750
W: 0.750 0.250 0.250
W: 0.750 0.250 0.750
W: 0.750 0.750 0.250
W: 0.750 0.750 0.750
F: 0.000 0.000 0.500
F: 0.000 0.500 0.000
F: 0.500 0.000 0.000
F: 0.500 0.500 0.500

SG	Fm-3m, No. 225
E	-17.79	eV per formula unit
D(E_F)	0.79	states/eV per atom

# 3
Density functional theory data (PBE with a Hubbard U) for a geometry-optimized CoWF3 structure.

Lattice parameters (Å, degrees): 4.121 4.121 4.121 90.00 90.00 90.00
Fractional positions:
Co: 0.000 0.000 0.000
W: 0.500 0.500 0.500
F: 0.000 0.000 0.500
F: 0.000 0.500 0.000
F: 0.500 0.000 0.000

SG	Pm-3m, No. 221
polymorph energy (0 for the lowest one)	81.16	kJ per mole of atoms
D(E_F)	1.32	states/eV per atom

# 4
Density functional theory data (PBE with a Hubbard U) for a geometry-optimized CoWF3 structure.

Lattice parameters (Å, degrees): 4.334 4.334 4.334 90.00 90.00 90.00
Fractional positions:
Co: 0.000 0.000 0.000
W: 0.500 0.500 0.500
F: 0.000 0.500 0.500
F: 0.500 0.000 0.500
F: 0.500 0.500 0.000

SG	Pm-3m, No. 221
polymorph energy (0 for the lowest one)	0.00	kJ per mole of atoms
D(E_F)	0.60	states/eV per atom

# 5
Density functional theory data (PBE with a Hubbard U) for a geometry-optimized Co3WF structure.

Lattice parameters (Å, degrees): 4.133 4.133 4.133 90.00 90.00 90.00
Fractional positions:
Co: 0.000 0.000 0.500
Co: 0.000 0.500 0.000
Co: 0.500 0.000 0.000
W: 0.500 0.500 0.500
F: 0.000 0.000 0.000

SG	Pm-3m, No. 221
polymorph energy (0 for the lowest one)	0.00	kJ per mole of atoms
D(E_F)	0.54	states/eV per atom

# 6
Density functional theory data (PBE with a Hubbard U) for a geometry-optimized CoW3F structure.

Lattice parameters (Å, degrees): 4.802 4.802 4.802 90.00 90.00 90.00
Fractional positions:
Co: 0.000 0.000 0.000
W: 0.000 0.000 0.500
W: 0.000 0.500 0.000
W: 0.500 0.000 0.000
F: 0.500 0.500 0.500

SG	Pm-3m, No. 221
polymorph energy (0 for the lowest one)	0.00	kJ per mole of atoms
D(E_F)	0.47	states/eV per atom

# 7
Density functional theory data (PBE with a Hubbard U) for a geometry-optimized ZnCoWF2 structure.

Lattice parameters (Å, degrees): 3.831 3.831 6.698 90.00 90.00 90.00
Fractional positions:
Zn: 0.000 0.000 0.000
Co: 0.500 0.500 0.500
W: 0.000 0.000 0.500
F: 0.000 0.500 0.000
F: 0.500 0.000 0.000

SG	P4/mmm, No. 123
E	-18.12	eV per formula unit
D(E_F)	0.21	states/eV per atom

# 8
Density functional theory data (PBE with a Hubbard U) for a geometry-optimized Y3CoF structure.

Lattice parameters (Å, degrees): 4.812 4.812 4.812 90.00 90.00 90.00
Fractional positions:
Y: 0.000 0.000 0.500
Y: 0.000 0.500 0.000
Y: 0.500 0.000 0.000
Co: 0.500 0.500 0.500
F: 0.000 0.000 0.000

SG	Pm-3m, No. 221
polymorph energy (0 for the lowest one)	0.00	kJ per mole of atoms
D(E_F)	0.95	states/eV per atom

# 9
Density functional theory data (PBE with a Hubbard U) for a geometry-optimized YCoF3 structure.

Lattice parameters (Å, degrees): 4.451 4.451 4.451 90.00 90.00 90.00
Fractional positions:
Y: 0.000 0.000 0.000
Co: 0.500 0.500 0.500
F: 0.000 0.000 0.500
F: 0.000 0.500 0.000
F: 0.500 0.000 0.000

SG	Pm-3m, No. 221
polymorph energy (0 for the lowest one)	0.00	kJ per mole of atoms
D(E_F)	0.36	states/eV per atom

# 10
Density functional theory data (PBE with a Hubbard U) for a geometry-optimized Y2CoF structure.

Lattice parameters (Å, degrees): 6.675 6.675 6.675 90.00 90.00 90.00
Fractional positions:
Y: 0.250 0.250 0.250
Y: 0.250 0.250 0.750
Y: 0.250 0.750 0.250
Y: 0.250 0.750 0.750
Y: 0.750 0.250 0.250
Y: 0.750 0.250 0.750
Y: 0.750 0.750 0.250
Y: 0.750 0.750 0.750
Co: 0.000 0.000 0.000
Co: 0.000 0.500 0.500
Co: 0.500 0.000 0.500
Co: 0.500 0.500 0.000
F: 0.000 0.000 0.500
F: 0.000 0.500 0.000
F: 0.500 0.000 0.000
F: 0.500 0.500 0.500

SG	Fm-3m, No. 225
polymorph energy (0 for the lowest one)	20.08	kJ per mole of atoms
D(E_F)	0.22	states/eV per atom

# 11
Density functional theory data (PBE with a Hubbard U) for a geometry-optimized YCo2F structure.

Lattice parameters (Å, degrees): 4.401 4.401 15.657 90.00 90.00 90.00
Fractional positions:
Y: 0.000 0.250 0.375
Y: 0.000 0.750 0.625
Y: 0.500 0.250 0.125
Y: 0.500 0.750 0.875
Co: 0.000 0.000 0.000
Co: 0.000 0.500 0.000
Co: 0.250 0.250 0.750
Co: 0.250 0.750 0.250
Co: 0.500 0.000 0.500
Co: 0.500 0.500 0.500
Co: 0.750 0.250 0.750
Co: 0.750 0.750 0.250
F: 0.000 0.250 0.875
F: 0.000 0.750 0.125
F: 0.500 0.250 0.625
F: 0.500 0.750 0.375

SG	I4_1/amd, No. 141
polymorph energy (0 for the lowest one)	0.00	kJ per mole of atoms
D(E_F)	0.88	states/eV per atom

# 12
Density functional theory data (PBE with a Hubbard U) for a geometry-optimized YCoF3 structure.

Lattice parameters (Å, degrees): 4.117 4.117 4.117 90.00 90.00 90.00
Fractional positions:
Y: 0.000 0.000 0.000
Co: 0.500 0.500 0.500
F: 0.000 0.500 0.500
F: 0.500 0.000 0.500
F: 0.500 0.500 0.000

SG	Pm-3m, No. 221
polymorph energy (0 for the lowest one)	54.59	kJ per mole of atoms
D(E_F)	0.40	states/eV per atom